First-principles (SCAN) data for a PBEsol-optimized structure of CrSe2I, as listed in Alexandria. Values from VASP.

Values from the calculation:
Density of states at the Fermi level (states/eV/cell): 2.14
Crystal system: trigonal
ΔE_f (raw) (eV per formula unit): 1.7
VASP energy (eV per atom): -23.408

Geometry as Quantum ESPRESSO input:
```
&SYSTEM
  ibrav = 0, nat = 4, ntyp = 3
/
ATOMIC_SPECIES
I 126.90 I.upf
Cr 52.00 Cr.upf
Se 78.96 Se.upf
ATOMIC_POSITIONS angstrom
I 1.152 -6.650 1.985
Cr 0.000 0.000 0.000
Se 0.702 -5.444 -1.921
Se 1.602 -7.856 5.892
CELL_PARAMETERS angstrom
-1.342 -2.159 -1.716
1.683 -1.697 -1.922
1.962 -9.444 7.609
```

=====

First-principles (SCAN) data for a PBEsol-optimized structure of Ag4Au, as listed in Alexandria. Values from VASP.

Values from the calculation:
Calculated formation energy (meV/atom): -27
Density of states at the Fermi level (states/eV/cell): 1.12
Crystal system: trigonal
VASP energy (eV per atom): -38.952

Geometry as Quantum ESPRESSO input:
```
&SYSTEM
  ibrav = 0, nat = 5, ntyp = 2
/
ATOMIC_SPECIES
Au 196.97 Au.upf
Ag 107.87 Ag.upf
ATOMIC_POSITIONS angstrom
Au 2.869 1.657 5.825
Ag 4.304 2.485 3.479
Ag 1.435 0.828 1.164
Ag 4.304 2.485 10.486
Ag 1.435 0.828 8.171
CELL_PARAMETERS angstrom
2.869 0.000 0.000
1.435 2.485 0.000
1.435 0.828 11.650
```

=====

First-principles (SCAN) data for a PBEsol-optimized structure of LiCrIn2, as listed in Alexandria. Values from VASP.

Values from the calculation:
Calculated formation energy (meV/atom): -144
Density of states at the Fermi level (states/eV/cell): 1.43
Crystal system: orthorhombic
VASP energy (eV per atom): -22.031

Geometry as Quantum ESPRESSO input:
```
&SYSTEM
  ibrav = 0, nat = 4, ntyp = 3
/
ATOMIC_SPECIES
Cr 52.00 Cr.upf
In 114.82 In.upf
Li 6.94 Li.upf
ATOMIC_POSITIONS angstrom
Cr -3.669 -1.237 -1.006
In -3.775 -2.704 1.442
In -1.254 -0.898 0.479
Li -1.155 0.564 -1.966
CELL_PARAMETERS angstrom
-2.090 2.437 -0.902
-0.219 -1.310 -3.031
-5.029 -3.602 1.920
```

=====

First-principles (SCAN) data for a PBEsol-optimized structure of Nb3PtSe, as listed in Alexandria. Values from VASP.

Values from the calculation:
Density of states at the Fermi level (states/eV/cell): 5.47
Crystal system: cubic
ΔE_f (raw) (eV per formula unit): 4.5
VASP energy (eV per atom): -37.028

Geometry as Quantum ESPRESSO input:
```
&SYSTEM
  ibrav = 0, nat = 5, ntyp = 3
/
ATOMIC_SPECIES
Nb 92.91 Nb.upf
Se 78.96 Se.upf
Pt 195.08 Pt.upf
ATOMIC_POSITIONS angstrom
Nb 0.000 2.433 0.000
Nb 0.000 0.000 2.433
Nb 2.433 0.000 0.000
Se 2.433 2.433 2.433
Pt 0.000 0.000 0.000
CELL_PARAMETERS angstrom
4.867 0.000 0.000
0.000 4.867 0.000
0.000 0.000 4.867
```

=====

First-principles (SCAN) data for a PBEsol-optimized structure of Al2SbAu2, as listed in Alexandria. Values from VASP.

Values from the calculation:
Density of states at the Fermi level (states/eV/cell): 3.69
Crystal system: tetragonal
ΔE_f (raw) (eV per formula unit): -0.8
VASP energy (eV per atom): -38.382

Geometry as Quantum ESPRESSO input:
```
&SYSTEM
  ibrav = 0, nat = 10, ntyp = 3
/
ATOMIC_SPECIES
Sb 121.76 Sb.upf
Au 196.97 Au.upf
Al 26.98 Al.upf
ATOMIC_POSITIONS angstrom
Sb 0.000 0.000 0.000
Sb 0.000 3.933 3.933
Au 1.498 1.012 4.945
Au 1.498 4.945 6.855
Au 1.498 6.855 2.921
Au 1.498 2.921 1.012
Al 0.000 2.629 6.562
Al 0.000 6.562 5.237
Al 0.000 5.237 1.304
Al 0.000 1.304 2.629
CELL_PARAMETERS angstrom
2.997 0.000 0.000
0.000 7.866 0.000
0.000 0.000 7.866
```

=====

First-principles (SCAN) data for a PBEsol-optimized structure of Ta2NiRh, as listed in Alexandria. Values from VASP.

Values from the calculation:
Calculated formation energy (meV/atom): -343
Density of states at the Fermi level (states/eV/cell): 3.27
Crystal system: orthorhombic
VASP energy (eV per atom): -46.120

Geometry as Quantum ESPRESSO input:
```
&SYSTEM
  ibrav = 0, nat = 4, ntyp = 3
/
ATOMIC_SPECIES
Ni 58.69 Ni.upf
Rh 102.91 Rh.upf
Ta 180.95 Ta.upf
ATOMIC_POSITIONS angstrom
Ni -2.584 0.235 1.696
Rh -1.031 0.798 -0.518
Ta -1.498 -1.792 0.217
Ta -0.055 1.229 1.997
CELL_PARAMETERS angstrom
-2.063 1.595 -1.036
-2.995 -3.584 0.434
-0.109 2.459 3.994
```

=====

First-principles (SCAN) data for a PBEsol-optimized structure of Al2ZnPtW, as listed in Alexandria. Values from VASP.

Values from the calculation:
Calculated formation energy (meV/atom): 1324
Density of states at the Fermi level (states/eV/cell): 4.39
Crystal system: tetragonal
VASP energy (eV per atom): -32.456

Geometry as Quantum ESPRESSO input:
```
&SYSTEM
  ibrav = 0, nat = 5, ntyp = 4
/
ATOMIC_SPECIES
Zn 65.41 Zn.upf
W 183.84 W.upf
Pt 195.08 Pt.upf
Al 26.98 Al.upf
ATOMIC_POSITIONS angstrom
Zn 2.344 0.000 0.000
W 0.000 0.000 0.000
Pt 2.344 2.360 2.360
Al 0.000 0.000 2.360
Al 0.000 2.360 0.000
CELL_PARAMETERS angstrom
4.687 0.000 0.000
0.000 4.721 0.000
0.000 0.000 4.721
```

=====

First-principles (SCAN) data for a PBEsol-optimized structure of BaFe2S4, as listed in Alexandria. Values from VASP.

Values from the calculation:
Density of states at the Fermi level (states/eV/cell): 4.07
Crystal system: tetragonal
ΔE_f (raw) (eV per formula unit): -6.6
VASP energy (eV per atom): -17.269

Geometry as Quantum ESPRESSO input:
```
&SYSTEM
  ibrav = 0, nat = 7, ntyp = 3
/
ATOMIC_SPECIES
Ba 137.33 Ba.upf
Fe 55.84 Fe.upf
S 32.06 S.upf
ATOMIC_POSITIONS angstrom
Ba 0.000 0.000 0.000
Fe -2.107 -3.809 4.693
Fe -1.707 -1.363 4.080
S -1.205 -2.322 5.897
S -0.796 -5.437 4.368
S -3.817 -4.626 5.631
S -2.609 -2.850 2.876
CELL_PARAMETERS angstrom
-0.799 -4.891 1.226
1.874 -1.592 5.502
-5.289 -1.134 2.658
```

=====

First-principles (SCAN) data for a PBEsol-optimized structure of BiI2OF, as listed in Alexandria. Values from VASP.

Values from the calculation:
Density of states at the Fermi level (states/eV/cell): 6.90
Crystal system: tetragonal
ΔE_f (raw) (eV per formula unit): -0.1
VASP energy (eV per atom): -32.380

Geometry as Quantum ESPRESSO input:
```
&SYSTEM
  ibrav = 0, nat = 5, ntyp = 4
/
ATOMIC_SPECIES
I 126.90 I.upf
Bi 208.98 Bi.upf
O 16.00 O.upf
F 19.00 F.upf
ATOMIC_POSITIONS angstrom
I 0.000 0.000 3.030
I 0.000 3.030 0.000
Bi 0.000 0.000 0.000
O 2.083 0.000 0.000
F 2.083 3.030 3.030
CELL_PARAMETERS angstrom
4.165 0.000 0.000
0.000 6.060 0.000
0.000 0.000 6.060
```

=====

First-principles (SCAN) data for a PBEsol-optimized structure of CoTc, as listed in Alexandria. Values from VASP.

Values from the calculation:
Calculated formation energy (meV/atom): 132
Density of states at the Fermi level (states/eV/cell): 3.01
Crystal system: orthorhombic
VASP energy (eV per atom): -26.050

Geometry as Quantum ESPRESSO input:
```
&SYSTEM
  ibrav = 0, nat = 4, ntyp = 2
/
ATOMIC_SPECIES
Co 58.93 Co.upf
Tc 98.00 Tc.upf
ATOMIC_POSITIONS angstrom
Co 1.273 2.962 0.639
Co 0.000 0.987 4.081
Tc 1.273 2.962 3.169
Tc 0.000 0.987 1.552
CELL_PARAMETERS angstrom
2.546 0.000 0.000
0.000 3.950 0.000
-1.273 0.000 4.720
```

=====

First-principles (SCAN) data for a PBEsol-optimized structure of LiEuGe2, as listed in Alexandria. Values from VASP.

Values from the calculation:
Calculated formation energy (meV/atom): -618
Density of states at the Fermi level (states/eV/cell): 29.04
Crystal system: orthorhombic
VASP energy (eV per atom): -24.187

Geometry as Quantum ESPRESSO input:
```
&SYSTEM
  ibrav = 0, nat = 16, ntyp = 3
/
ATOMIC_SPECIES
Li 6.94 Li.upf
Eu 151.96 Eu.upf
Ge 72.64 Ge.upf
ATOMIC_POSITIONS angstrom
Li 2.952 0.070 1.157
Li 2.952 3.999 4.165
Li 0.984 7.789 9.486
Li 0.984 3.860 6.478
Eu 2.952 2.856 9.210
Eu 2.952 6.786 6.754
Eu 0.984 5.002 1.433
Eu 0.984 1.073 3.889
Ge 2.952 2.117 6.003
Ge 2.952 6.047 9.961
Ge 0.984 5.741 4.640
Ge 0.984 1.812 0.682
Ge 2.952 2.684 1.936
Ge 2.952 6.614 3.385
Ge 0.984 5.174 8.706
Ge 0.984 1.245 7.258
CELL_PARAMETERS angstrom
3.936 0.000 0.000
0.000 7.859 0.000
0.000 0.000 10.643
```

=====

First-principles (SCAN) data for a PBEsol-optimized structure of FeOs2Rh, as listed in Alexandria. Values from VASP.

Values from the calculation:
Calculated formation energy (meV/atom): 457
Density of states at the Fermi level (states/eV/cell): 4.67
Crystal system: cubic
VASP energy (eV per atom): -48.459

Geometry as Quantum ESPRESSO input:
```
&SYSTEM
  ibrav = 0, nat = 4, ntyp = 3
/
ATOMIC_SPECIES
Fe 55.84 Fe.upf
Os 190.23 Os.upf
Rh 102.91 Rh.upf
ATOMIC_POSITIONS angstrom
Fe 0.000 0.000 0.000
Os 2.116 1.222 0.864
Os 6.348 3.665 2.592
Rh 4.232 2.443 1.728
CELL_PARAMETERS angstrom
4.232 0.000 0.000
2.116 3.665 0.000
2.116 1.222 3.455
```